Entry 1
# Li2Cd6Pd | Alexandria via LeMat-Bulk | PBE | relaxed
data_Li2Cd6Pd
_cell_length_a 10.6816
_cell_length_b 4.5960
_cell_length_c 8.7331
_cell_angle_alpha 90.00
_cell_angle_beta 127.16
_cell_angle_gamma 90.00
_symmetry_space_group_name_H-M 'C 1 2/m 1'
_symmetry_Int_Tables_number 12
_symmetry_space_group_name_Hall '-C 2y'
loop_
_atom_site_label
_atom_site_fract_x
_atom_site_fract_y
_atom_site_fract_z
Li1 0.1586 0.0000 0.3175
Cd1 0.0161 0.5000 0.3391
Cd2 0.1575 0.0000 0.9990
Cd3 0.1782 0.0000 0.6624
Pd1 0.0000 0.5000 0.0000
# **Volume**: 170.8 Å³/f.u.


Entry 2
# Li2Cd6Pd | Alexandria via LeMat-Bulk | PBE | relaxed
data_Li2Cd6Pd
_cell_length_a 8.2183
_cell_length_b 4.7410
_cell_length_c 8.8882
_cell_angle_alpha 90.00
_cell_angle_beta 90.08
_cell_angle_gamma 90.00
_symmetry_space_group_name_H-M 'C 1 2/m 1'
_symmetry_Int_Tables_number 12
_symmetry_space_group_name_Hall '-C 2y'
loop_
_atom_site_label
_atom_site_fract_x
_atom_site_fract_y
_atom_site_fract_z
Li1 0.1667 0.0000 0.2126
Cd1 0.9999 0.5000 0.3142
Cd2 0.1667 0.0000 0.5566
Cd3 0.1666 0.0000 0.9025
Pd1 0.0000 0.5000 0.0000
# **Volume**: 173.2 Å³/f.u.


Which structure wins on stability? entry 2 wins.


Entry 1
# Li6Cd3Pd | Alexandria via LeMat-Bulk | PBE | relaxed
data_Li6Cd3Pd
_cell_length_a 10.9478
_cell_length_b 10.9478
_cell_length_c 5.3000
_cell_angle_alpha 90.00
_cell_angle_beta 90.00
_cell_angle_gamma 120.00
_symmetry_space_group_name_H-M 'R 3 m'
_symmetry_Int_Tables_number 160
_symmetry_space_group_name_Hall 'R 3 -2"'
loop_
_atom_site_label
_atom_site_fract_x
_atom_site_fract_y
_atom_site_fract_z
Li1 0.0804 0.1609 0.0000
Li2 0.2153 0.4306 0.0546
Cd1 0.0175 0.5088 0.2135
Pd1 0.0000 0.0000 0.5831
# **Volume**: 183.4 Å³/f.u.


Entry 2
# Li6Cd3Pd | Alexandria via LeMat-Bulk | PBE | relaxed
data_Li6Cd3Pd
_cell_length_a 7.7448
_cell_length_b 4.7142
_cell_length_c 10.2299
_cell_angle_alpha 90.00
_cell_angle_beta 112.04
_cell_angle_gamma 90.00
_symmetry_space_group_name_H-M 'P 1 21/m 1'
_symmetry_Int_Tables_number 11
_symmetry_space_group_name_Hall '-P 2yb'
loop_
_atom_site_label
_atom_site_fract_x
_atom_site_fract_y
_atom_site_fract_z
Li1 0.0146 0.2500 0.1579
Li2 0.1842 0.7500 0.6255
Li3 0.1981 0.2500 0.9819
Li4 0.3833 0.7500 0.4142
Li5 0.3992 0.2500 0.2644
Li6 0.4252 0.2500 0.7810
Cd1 0.0088 0.2500 0.6883
Cd2 0.2227 0.2500 0.4819
Cd3 0.3762 0.7500 0.9290
Pd1 0.1905 0.7500 0.1266
# **Volume**: 173.1 Å³/f.u.


Which structure wins on stability? entry 2 wins.


Entry 1
# Li4Cd2Pd3 | Alexandria via LeMat-Bulk | PBE | relaxed
data_Li4Cd2Pd3
_cell_length_a 8.7016
_cell_length_b 4.0882
_cell_length_c 8.2735
_cell_angle_alpha 90.00
_cell_angle_beta 106.03
_cell_angle_gamma 90.00
_symmetry_space_group_name_H-M 'C 1 2/m 1'
_symmetry_Int_Tables_number 12
_symmetry_space_group_name_Hall '-C 2y'
loop_
_atom_site_label
_atom_site_fract_x
_atom_site_fract_y
_atom_site_fract_z
Li1 0.0134 0.0000 0.3505
Li2 0.1642 0.5000 0.8886
Cd1 0.1676 0.5000 0.2250
Pd1 0.0000 0.0000 0.0000
Pd2 0.1643 0.5000 0.5667
# **Volume**: 141.4 Å³/f.u.


Entry 2
# Li4Cd2Pd3 | Alexandria via LeMat-Bulk | PBE | relaxed
data_Li4Cd2Pd3
_cell_length_a 12.1820
_cell_length_b 4.0412
_cell_length_c 6.2192
_cell_angle_alpha 90.00
_cell_angle_beta 110.04
_cell_angle_gamma 90.00
_symmetry_space_group_name_H-M 'C 1 2/m 1'
_symmetry_Int_Tables_number 12
_symmetry_space_group_name_Hall '-C 2y'
loop_
_atom_site_label
_atom_site_fract_x
_atom_site_fract_y
_atom_site_fract_z
Li1 0.0501 0.0000 0.3412
Li2 0.2230 0.5000 0.3386
Cd1 0.1606 0.0000 0.0040
Pd1 0.0000 0.5000 0.0000
Pd2 0.1123 0.5000 0.6581
# **Volume**: 143.8 Å³/f.u.


Which structure wins on stability? entry 1 wins.


Entry 1
# LiCd3Pd3 | Alexandria via LeMat-Bulk | PBE | relaxed
data_LiCd3Pd3
_cell_length_a 5.9604
_cell_length_b 9.5880
_cell_length_c 9.0167
_cell_angle_alpha 90.00
_cell_angle_beta 90.00
_cell_angle_gamma 90.00
_symmetry_space_group_name_H-M 'C m m m'
_symmetry_Int_Tables_number 65
_symmetry_space_group_name_Hall '-C 2 2'
loop_
_atom_site_label
_atom_site_fract_x
_atom_site_fract_y
_atom_site_fract_z
Li1 0.2355 0.0000 0.0000
Cd1 0.0000 0.0000 0.2927
Cd2 0.0000 0.2753 0.0000
Cd3 0.0000 0.3316 0.5000
Pd1 0.0000 0.5000 0.2374
Pd2 0.2500 0.2500 0.2535
# **Volume**: 128.8 Å³/f.u.


Entry 2
# LiCd3Pd3 | Alexandria via LeMat-Bulk | PBE | relaxed
data_LiCd3Pd3
_cell_length_a 9.0633
_cell_length_b 9.2537
_cell_length_c 6.1419
_cell_angle_alpha 90.00
_cell_angle_beta 90.00
_cell_angle_gamma 90.00
_symmetry_space_group_name_H-M 'C m m m'
_symmetry_Int_Tables_number 65
_symmetry_space_group_name_Hall '-C 2 2'
loop_
_atom_site_label
_atom_site_fract_x
_atom_site_fract_y
_atom_site_fract_z
Li1 0.0000 0.2476 0.0000
Cd1 0.0000 0.2591 0.5000
Cd2 0.2332 0.5000 0.0000
Cd3 0.2339 0.5000 0.5000
Pd1 0.0000 0.0000 0.2458
Pd2 0.2500 0.2500 0.2411
# **Volume**: 128.8 Å³/f.u.


Which structure wins on stability? entry 2 wins.


Entry 1
# Li5Cd2Pd4 | Alexandria via LeMat-Bulk | PBE | relaxed
data_Li5Cd2Pd4
_cell_length_a 16.9669
_cell_length_b 2.9292
_cell_length_c 7.2541
_cell_angle_alpha 90.00
_cell_angle_beta 103.57
_cell_angle_gamma 90.00
_symmetry_space_group_name_H-M 'C 1 2/m 1'
_symmetry_Int_Tables_number 12
_symmetry_space_group_name_Hall '-C 2y'
loop_
_atom_site_label
_atom_site_fract_x
_atom_site_fract_y
_atom_site_fract_z
Li1 0.0000 0.0000 0.0000
Li2 0.1176 0.5000 0.4947
Li3 0.1185 0.5000 0.1379
Cd1 0.1750 0.0000 0.8668
Pd1 0.0276 0.5000 0.7359
Pd2 0.2295 0.0000 0.3313
# **Volume**: 175.2 Å³/f.u.


Entry 2
# Li5Cd2Pd4 | Alexandria via LeMat-Bulk | PBE | relaxed
data_Li5Cd2Pd4
_cell_length_a 7.3424
_cell_length_b 2.9049
_cell_length_c 8.6764
_cell_angle_alpha 90.00
_cell_angle_beta 107.42
_cell_angle_gamma 90.00
_symmetry_space_group_name_H-M 'P 1 2/m 1'
_symmetry_Int_Tables_number 10
_symmetry_space_group_name_Hall '-P 2y'
loop_
_atom_site_label
_atom_site_fract_x
_atom_site_fract_y
_atom_site_fract_z
Li1 0.0000 0.0000 0.0000
Li2 0.0030 0.0000 0.3261
Li3 0.4048 0.0000 0.1010
Cd1 0.3506 0.0000 0.5920
Pd1 0.2697 0.5000 0.8476
Pd2 0.2798 0.5000 0.2943
# **Volume**: 176.6 Å³/f.u.


Which structure wins on stability? entry 2 wins.


Entry 1
# LiCd3Pd4 | Alexandria via LeMat-Bulk | PBE | relaxed
data_LiCd3Pd4
_cell_length_a 6.0664
_cell_length_b 6.0562
_cell_length_c 7.8915
_cell_angle_alpha 90.00
_cell_angle_beta 112.42
_cell_angle_gamma 90.00
_symmetry_space_group_name_H-M 'C 1 2/m 1'
_symmetry_Int_Tables_number 12
_symmetry_space_group_name_Hall '-C 2y'
loop_
_atom_site_label
_atom_site_fract_x
_atom_site_fract_y
_atom_site_fract_z
Li1 0.0000 0.0000 0.0000
Cd1 0.0000 0.5000 0.0000
Cd2 0.2491 0.0000 0.4977
Pd1 0.1279 0.2497 0.7565
# **Volume**: 134.0 Å³/f.u.


Entry 2
# LiCd3Pd4 | Alexandria via LeMat-Bulk | PBE | relaxed
data_LiCd3Pd4
_cell_length_a 5.4901
_cell_length_b 9.2425
_cell_length_c 5.4476
_cell_angle_alpha 90.00
_cell_angle_beta 90.00
_cell_angle_gamma 90.00
_symmetry_space_group_name_H-M 'I m m 2'
_symmetry_Int_Tables_number 44
_symmetry_space_group_name_Hall 'I 2 -2'
loop_
_atom_site_label
_atom_site_fract_x
_atom_site_fract_y
_atom_site_fract_z
Li1 0.0000 0.0000 0.0000
Cd1 0.0000 0.2309 0.3087
Cd2 0.0000 0.5000 0.5717
Pd1 0.0000 0.2449 0.8114
Pd2 0.2456 0.5000 0.0694
# **Volume**: 138.2 Å³/f.u.


Which structure wins on stability? entry 1 wins.


Entry 1
# Li5Cd2Pd2 | Alexandria via LeMat-Bulk | PBE | relaxed
data_Li5Cd2Pd2
_cell_length_a 21.4043
_cell_length_b 5.6168
_cell_length_c 5.1609
_cell_angle_alpha 90.00
_cell_angle_beta 90.00
_cell_angle_gamma 90.00
_symmetry_space_group_name_H-M 'I m a 2'
_symmetry_Int_Tables_number 46
_symmetry_space_group_name_Hall 'I 2 -2a'
loop_
_atom_site_label
_atom_site_fract_x
_atom_site_fract_y
_atom_site_fract_z
Li1 0.1248 0.1869 0.0000
Li2 0.1474 0.6766 0.8849
Li3 0.2500 0.5822 0.2195
Cd1 0.0000 0.0000 0.1948
Cd2 0.2500 0.1010 0.2143
Pd1 0.0605 0.5714 0.1891
# **Volume**: 155.1 Å³/f.u.


Entry 2
# Li5Cd2Pd2 | Alexandria via LeMat-Bulk | PBE | relaxed
data_Li5Cd2Pd2
_cell_length_a 12.8338
_cell_length_b 10.4029
_cell_length_c 4.5613
_cell_angle_alpha 90.00
_cell_angle_beta 90.00
_cell_angle_gamma 90.00
_symmetry_space_group_name_H-M 'I m a 2'
_symmetry_Int_Tables_number 46
_symmetry_space_group_name_Hall 'I 2 -2a'
loop_
_atom_site_label
_atom_site_fract_x
_atom_site_fract_y
_atom_site_fract_z
Li1 0.0409 0.1668 0.0000
Li2 0.1483 0.6932 0.0030
Li3 0.2500 0.1769 0.0036
Cd1 0.0000 0.0000 0.5015
Cd2 0.2500 0.0448 0.5033
Pd1 0.1391 0.5521 0.5029
# **Volume**: 152.2 Å³/f.u.


Which structure wins on stability? entry 2 wins.


Entry 1
# LiCd2Pd5 | Alexandria via LeMat-Bulk | PBE | relaxed
data_LiCd2Pd5
_cell_length_a 4.5575
_cell_length_b 4.5575
_cell_length_c 12.4836
_cell_angle_alpha 90.00
_cell_angle_beta 90.00
_cell_angle_gamma 90.00
_symmetry_space_group_name_H-M 'I 4/m m m'
_symmetry_Int_Tables_number 139
_symmetry_space_group_name_Hall '-I 4 2'
loop_
_atom_site_label
_atom_site_fract_x
_atom_site_fract_y
_atom_site_fract_z
Li1 0.0000 0.0000 0.0000
Cd1 0.0000 0.0000 0.2515
Pd1 0.0000 0.0000 0.5000
Pd2 0.0000 0.5000 0.1182
# **Volume**: 129.6 Å³/f.u.


Entry 2
# LiCd2Pd5 | Alexandria via LeMat-Bulk | PBE | relaxed
data_LiCd2Pd5
_cell_length_a 5.7688
_cell_length_b 5.7688
_cell_length_c 7.7694
_cell_angle_alpha 90.00
_cell_angle_beta 90.00
_cell_angle_gamma 90.00
_symmetry_space_group_name_H-M 'I 4/m m m'
_symmetry_Int_Tables_number 139
_symmetry_space_group_name_Hall '-I 4 2'
loop_
_atom_site_label
_atom_site_fract_x
_atom_site_fract_y
_atom_site_fract_z
Li1 0.0000 0.0000 0.0000
Cd1 0.0000 0.5000 0.0000
Pd1 0.0000 0.0000 0.5000
Pd2 0.2500 0.2500 0.2500
# **Volume**: 129.3 Å³/f.u.


Which structure wins on stability? entry 2 wins.


Entry 1
# Li6CdPd3 | Alexandria via LeMat-Bulk | PBE | relaxed
data_Li6CdPd3
_cell_length_a 6.9699
_cell_length_b 11.1949
_cell_length_c 4.2514
_cell_angle_alpha 90.00
_cell_angle_beta 90.00
_cell_angle_gamma 90.00
_symmetry_space_group_name_H-M 'P n n m'
_symmetry_Int_Tables_number 58
_symmetry_space_group_name_Hall '-P 2 2n'
loop_
_atom_site_label
_atom_site_fract_x
_atom_site_fract_y
_atom_site_fract_z
Li1 0.0120 0.1266 0.0000
Li2 0.1932 0.6432 0.0000
Li3 0.1961 0.3601 0.0000
Cd1 0.0000 0.5000 0.5000
Pd1 0.0000 0.0000 0.5000
Pd2 0.0008 0.7401 0.5000
# **Volume**: 165.9 Å³/f.u.


Entry 2
# Li6CdPd3 | Alexandria via LeMat-Bulk | PBE | relaxed
data_Li6CdPd3
_cell_length_a 8.0130
_cell_length_b 15.7348
_cell_length_c 4.9696
_cell_angle_alpha 90.00
_cell_angle_beta 90.00
_cell_angle_gamma 90.00
_symmetry_space_group_name_H-M 'C m c 21'
_symmetry_Int_Tables_number 36
_symmetry_space_group_name_Hall 'C 2c -2'
loop_
_atom_site_label
_atom_site_fract_x
_atom_site_fract_y
_atom_site_fract_z
Li1 0.0000 0.0018 0.0000
Li2 0.0000 0.3165 0.0070
Li3 0.1771 0.2772 0.5543
Li4 0.1897 0.4532 0.7957
Cd1 0.0000 0.1555 0.2433
Pd1 0.0000 0.4124 0.3884
Pd2 0.1744 0.1197 0.7423
# **Volume**: 156.6 Å³/f.u.


Which structure wins on stability? entry 1 wins.